BaNaHgO2 | PBE | optimized geometry

## Properties
Symmetry = P2/c, No. 13
Uncorrected formation energy = -1.2441 eV per atom

Cell: 6.425 5.043 6.742 Å, 90.00 99.38 90.00°
Fractional coordinates of all 10 atoms:
1 Ba 0.000 0.188 0.250
2 Ba 0.000 0.812 0.750
3 Na 0.500 0.017 0.750
4 Na 0.500 0.983 0.250
5 Hg 0.500 0.500 0.000
6 Hg 0.500 0.500 0.500
7 O 0.248 0.148 0.966
8 O 0.248 0.852 0.466
9 O 0.752 0.148 0.534
10 O 0.752 0.852 0.034

=====

BaNa2HgP | PBE | optimized geometry

## Properties
E_form = -1.82 eV per formula unit
Symmetry = P4/mmm, No. 123

Cell: 5.431 5.431 6.322 Å, 90.00 90.00 90.00°
Fractional coordinates of all 5 atoms:
1 Ba 0.000 0.000 0.000
2 Na 0.000 0.500 0.500
3 Na 0.500 0.000 0.500
4 Hg 0.500 0.500 0.000
5 P 0.000 0.000 0.500

=====

Ba2NaHgP | PBE | optimized geometry

## Properties
E_form = -2.36 eV per formula unit
Symmetry = P4/mmm, No. 123

Cell: 6.276 6.276 5.361 Å, 90.00 90.00 90.00°
Fractional coordinates of all 5 atoms:
1 Ba 0.000 0.500 0.000
2 Ba 0.500 0.000 0.000
3 Na 0.000 0.000 0.500
4 Hg 0.500 0.500 0.500
5 P 0.000 0.000 0.000

=====

BaNaHgPb | PBE | optimized geometry

## Properties
E_form = -1.44 eV per formula unit
Symmetry = F-43m, No. 216

Cell: 8.112 8.112 8.112 Å, 90.00 90.00 90.00°
Fractional coordinates of all 16 atoms:
1 Ba 0.000 0.000 0.000
2 Ba 0.000 0.500 0.500
3 Ba 0.500 0.000 0.500
4 Ba 0.500 0.500 0.000
5 Na 0.000 0.000 0.500
6 Na 0.000 0.500 0.000
7 Na 0.500 0.000 0.000
8 Na 0.500 0.500 0.500
9 Hg 0.250 0.250 0.750
10 Hg 0.250 0.750 0.250
11 Hg 0.750 0.250 0.250
12 Hg 0.750 0.750 0.750
13 Pb 0.250 0.250 0.250
14 Pb 0.250 0.750 0.750
15 Pb 0.750 0.250 0.750
16 Pb 0.750 0.750 0.250

=====

BaNa2Hg2Pb2 | PBE | optimized geometry

## Properties
E_form = -2.20 eV per formula unit
Symmetry = R-3m, No. 166

Cell: 10.137 10.137 10.137 Å, 29.31 29.31 29.31°
Fractional coordinates of all 7 atoms:
1 Ba 0.000 0.000 0.000
2 Na 0.140 0.140 0.140
3 Na 0.860 0.860 0.860
4 Hg 0.426 0.426 0.426
5 Hg 0.574 0.574 0.574
6 Pb 0.258 0.258 0.258
7 Pb 0.742 0.742 0.742

=====

BaNaHg2Pb | PBE | optimized geometry

## Properties
E_form = -1.80 eV per formula unit
Symmetry = Imm2, No. 44

Cell: 4.094 5.312 14.615 Å, 90.00 90.00 90.00°
Fractional coordinates of all 10 atoms:
1 Ba 0.000 0.000 0.000
2 Ba 0.500 0.500 0.500
3 Na 0.000 0.500 0.743
4 Na 0.500 0.000 0.243
5 Hg 0.000 0.000 0.404
6 Hg 0.000 0.500 0.288
7 Hg 0.500 0.000 0.788
8 Hg 0.500 0.500 0.904
9 Pb 0.000 0.000 0.619
10 Pb 0.500 0.500 0.119

=====

Ba3Na2Hg4Pb2 | PBE | optimized geometry

## Properties
E_form = -4.35 eV per formula unit
Symmetry = P-3m1, No. 164

Cell: 5.233 5.233 16.810 Å, 90.00 90.00 120.00°
Fractional coordinates of all 11 atoms:
1 Ba 0.000 0.000 0.000
2 Ba 0.000 0.000 0.269
3 Ba 0.000 0.000 0.731
4 Na 0.333 0.667 0.559
5 Na 0.667 0.333 0.441
6 Hg 0.333 0.667 0.370
7 Hg 0.333 0.667 0.879
8 Hg 0.667 0.333 0.121
9 Hg 0.667 0.333 0.630
10 Pb 0.333 0.667 0.149
11 Pb 0.667 0.333 0.851

=====

Ba2NaHg6Pb | PBE | optimized geometry

## Properties
E_form = -1.26 eV per formula unit
Symmetry = Fm-3m, No. 225

Cell: 8.013 8.013 8.013 Å, 60.00 60.00 60.00°
Fractional coordinates of all 10 atoms:
1 Ba 0.250 0.250 0.250
2 Ba 0.750 0.750 0.750
3 Na 0.000 0.000 0.000
4 Hg 0.242 0.242 0.758
5 Hg 0.242 0.758 0.242
6 Hg 0.242 0.758 0.758
7 Hg 0.758 0.242 0.242
8 Hg 0.758 0.242 0.758
9 Hg 0.758 0.758 0.242
10 Pb 0.500 0.500 0.500